# 1
VASP calculation (GGA-PBE) on a relaxed structure of EuZnBi2.

Computed properties:
- raw total energy (eV per atom) = -5.039
- ΔH_f (0 K) (eV/atom) = -0.211
- theoretical density (g/cm³) = 8.80

a b c (Å): 5.0665 5.0665 16.1848
angles (deg): 90.00 90.00 120.00
Last column: nearest neighbours and their distance in Å.
Space group R-3m (No. 166, hexagonal axes)
One atom of each set of equivalent atoms:
Eu 0.0000 0.0000 0.0000 (multiplicity 3)  8 Bi 3.45-3.57
Zn 0.0000 0.0000 0.5000 (multiplicity 3)  6 Bi 3.05
Bi 0.0000 0.0000 0.2207 (multiplicity 6)  3 Zn 3.05, 3 Bi 3.41



# 2
VASP calculation (GGA-PBE) on a relaxed structure of AcTmCd2.

Computed properties:
- raw total energy (eV per atom) = -2.849
- E above lowest polymorph (kJ per mole of atoms) = 3.28
- ΔH_f (0 K) (eV/atom) = -0.246
- theoretical density (g/cm³) = 8.62

a b c (Å): 7.8217 7.8217 7.8217
angles (deg): 90.00 90.00 90.00
Last column: nearest neighbours and their distance in Å.
Space group Fm-3m (No. 225)
One atom of each set of equivalent atoms:
Ac 0.0000 0.0000 0.0000 (multiplicity 4)  8 Cd 3.39
Tm 0.0000 0.0000 0.5000 (multiplicity 4)  8 Cd 3.39
Cd 0.2500 0.2500 0.2500 (multiplicity 8)  4 Tm 3.39, 4 Ac 3.39



# 3
VASP calculation (GGA-PBE) on a relaxed structure of KSrTiIn2.

Computed properties:
- raw total energy (eV per atom) = -2.026
- ΔH_f (0 K) (eV/atom) = 1.204
- theoretical density (g/cm³) = 3.47

a b c (Å): 5.7562 5.7562 5.8399
angles (deg): 90.00 90.00 90.00
Last column: nearest neighbours and their distance in Å.
Space group P4/mmm (No. 123)
One atom of each set of equivalent atoms:
K 0.0000 0.0000 0.0000 (multiplicity 1)  4 In 2.88, 2 Sr 2.92
Sr 0.0000 0.0000 0.5000 (multiplicity 1)  2 K 2.92
Ti 0.5000 0.5000 0.5000 (multiplicity 1)  4 Sr 4.07, 8 In 4.10
In 0.0000 0.5000 0.0000 (multiplicity 2)  2 K 2.88